[1]
Entry from Alexandria: crystalline Be2InP at its relaxed geometry (GGA-PBE).

Cell lengths 4.6393, 4.6393, 4.6393 Å; angles 128.81, 128.81, 75.32 degrees
Fractional positions:
P 0.7500 0.2500 0.5000
Be 0.0000 0.0000 0.0000
Be 0.5000 0.5000 0.0000
In 0.2500 0.7500 0.5000

**Relative energy among the computed polymorphs**: 0.5202 eV per atom
**Formation energy from the elements**: 0.666 eV per atom
**Magnetization**: 0.0000 μB per atom

[2]
Entry from Alexandria: crystalline TlCd3Mo at its relaxed geometry (GGA-PBE).

Cell lengths 5.5397, 5.5397, 5.5397 Å; angles 90.00, 90.00, 90.00 degrees
Site moments in Bohr magnetons follow the coordinates.
Fractional positions:
Tl 0.0000 0.0000 0.0000  0.02
Mo 0.5000 0.5000 0.5000  3.90
Cd 0.0000 0.5000 0.0000  0.00
Cd 0.0000 0.0000 0.5000  -0.03
Cd 0.5000 0.0000 0.0000  0.02

**Relative energy among the computed polymorphs**: 0.4509 eV per atom
**Formation energy from the elements**: 1.291 eV per atom
**Magnetization**: 1.0230 μB per atom